Below is a geometry-optimized KNiO2 structure, with properties calculated at the GGA+U level.

Lattice parameters (Å, degrees): 4.072 4.072 4.072 60.00 60.00 60.00
Fractional positions:
Ni 0.500 0.500 0.500
K 0.000 0.000 0.000
O 0.250 0.250 0.250
O 0.750 0.750 0.750

Density of states at the Fermi level = 0.53 states/eV per cell
Crystal system = cubic
E = -0.122 hartree per atom
Symmetry = Fm-3m (225)